*w*
# HfCd3In PBE optimized geometry
data_HfCd3In
_space_group_name_H-M_alt 'P 1'
_space_group_IT_number 1
_cell_length_a 5.263
_cell_length_b 5.263
_cell_length_c 5.263
_cell_angle_alpha 90.00
_cell_angle_beta 90.00
_cell_angle_gamma 90.00
loop_
_space_group_symop_operation_xyz
'x,y,z'
loop_
_atom_site_label
_atom_site_type_symbol
_atom_site_fract_x
_atom_site_fract_y
_atom_site_fract_z
Cd1 Cd 0.500 0.000 0.000
In1 In 0.000 0.000 0.000
Cd2 Cd 0.000 0.500 0.000
Cd3 Cd 0.000 0.000 0.500
Hf1 Hf 0.500 0.500 0.500
# - Fermi-level density of states: 0.665 states/eV per atom
# - Total magnetization: 0.00 μB/f.u.



*x*
# HfCd3In PBE optimized geometry
data_HfCd3In
_space_group_name_H-M_alt 'P 1'
_space_group_IT_number 1
_cell_length_a 5.639
_cell_length_b 5.639
_cell_length_c 5.639
_cell_angle_alpha 90.00
_cell_angle_beta 90.00
_cell_angle_gamma 90.00
loop_
_space_group_symop_operation_xyz
'x,y,z'
loop_
_atom_site_label
_atom_site_type_symbol
_atom_site_fract_x
_atom_site_fract_y
_atom_site_fract_z
Hf1 Hf 0.000 0.000 0.000
Cd1 Cd 0.000 0.500 0.000
In1 In 0.500 0.500 0.500
Cd2 Cd 0.000 0.000 0.500
Cd3 Cd 0.500 0.000 0.000
# - Fermi-level density of states: 1.193 states/eV per atom
# - Total magnetization: 1.57 μB/f.u.



Which of them is most stable, and which least? Most stable: *x*; least stable: *w*.



*w*
# Hf2CdIn2 PBE optimized geometry
data_Hf2CdIn2
_space_group_name_H-M_alt 'P 1'
_space_group_IT_number 1
_cell_length_a 7.310
_cell_length_b 7.310
_cell_length_c 4.203
_cell_angle_alpha 90.00
_cell_angle_beta 90.00
_cell_angle_gamma 90.00
loop_
_space_group_symop_operation_xyz
'x,y,z'
loop_
_atom_site_label
_atom_site_type_symbol
_atom_site_fract_x
_atom_site_fract_y
_atom_site_fract_z
In1 In 0.366 0.866 0.000
Hf1 Hf 0.830 0.330 0.500
In2 In 0.134 0.366 0.000
In3 In 0.866 0.634 0.000
Cd1 Cd 0.000 0.000 0.000
Hf2 Hf 0.170 0.670 0.500
Hf3 Hf 0.670 0.830 0.500
In4 In 0.634 0.134 0.000
Hf4 Hf 0.330 0.170 0.500
Cd2 Cd 0.500 0.500 0.000
# - Fermi-level density of states: 0.582 states/eV per atom
# - Total magnetization: 0.00 μB/f.u.



*x*
# Hf2CdIn2 PBE optimized geometry
data_Hf2CdIn2
_space_group_name_H-M_alt 'P 1'
_space_group_IT_number 1
_cell_length_a 8.523
_cell_length_b 8.523
_cell_length_c 3.292
_cell_angle_alpha 90.00
_cell_angle_beta 90.00
_cell_angle_gamma 90.00
loop_
_space_group_symop_operation_xyz
'x,y,z'
loop_
_atom_site_label
_atom_site_type_symbol
_atom_site_fract_x
_atom_site_fract_y
_atom_site_fract_z
Hf1 Hf 0.376 0.876 0.000
Hf2 Hf 0.876 0.624 0.000
In1 In 0.676 0.824 0.500
In2 In 0.824 0.324 0.500
In3 In 0.176 0.676 0.500
Hf3 Hf 0.124 0.376 0.000
In4 In 0.324 0.176 0.500
Hf4 Hf 0.624 0.124 0.000
Cd1 Cd 0.500 0.500 0.000
Cd2 Cd 0.000 0.000 0.000
# - Fermi-level density of states: 0.657 states/eV per atom
# - Total magnetization: 0.00 μB/f.u.



Which of them is most stable, and which least? Most stable: *w*; least stable: *x*.



*w*
# Hf4CdIn PBE optimized geometry
data_Hf4CdIn
_space_group_name_H-M_alt 'P 1'
_space_group_IT_number 1
_cell_length_a 3.171
_cell_length_b 8.230
_cell_length_c 10.500
_cell_angle_alpha 90.00
_cell_angle_beta 90.00
_cell_angle_gamma 101.11
loop_
_space_group_symop_operation_xyz
'x,y,z'
loop_
_atom_site_label
_atom_site_type_symbol
_atom_site_fract_x
_atom_site_fract_y
_atom_site_fract_z
Hf1 Hf 0.994 0.988 0.269
Cd1 Cd 0.777 0.554 0.520
Cd2 Cd 0.223 0.446 0.020
In1 In 0.674 0.347 0.771
Hf2 Hf 0.006 0.012 0.769
Hf3 Hf 0.657 0.313 0.268
Hf4 Hf 0.552 0.104 0.023
Hf5 Hf 0.343 0.687 0.768
Hf6 Hf 0.892 0.784 0.010
In2 In 0.326 0.653 0.271
Hf7 Hf 0.108 0.216 0.510
Hf8 Hf 0.448 0.896 0.523
# - Fermi-level density of states: 0.673 states/eV per atom
# - Total magnetization: 0.00 μB/f.u.



*x*
# Hf4CdIn PBE optimized geometry
data_Hf4CdIn
_space_group_name_H-M_alt 'P 1'
_space_group_IT_number 1
_cell_length_a 4.308
_cell_length_b 4.387
_cell_length_c 7.322
_cell_angle_alpha 90.00
_cell_angle_beta 107.11
_cell_angle_gamma 90.00
loop_
_space_group_symop_operation_xyz
'x,y,z'
loop_
_atom_site_label
_atom_site_type_symbol
_atom_site_fract_x
_atom_site_fract_y
_atom_site_fract_z
Hf1 Hf 0.671 0.000 0.343
Hf2 Hf 0.329 0.000 0.657
Cd1 Cd 0.500 0.500 0.000
In1 In 0.000 0.000 0.000
Hf3 Hf 0.829 0.500 0.657
Hf4 Hf 0.171 0.500 0.343
# - Fermi-level density of states: 0.728 states/eV per atom
# - Total magnetization: 0.00 μB/f.u.



Which of them is most stable, and which least? Most stable: *x*; least stable: *w*.